Material: RePdAu
Method: DFT, PBE
State: relaxed

a b c (Å): 4.674 4.654 8.994
angles (deg): 90.00 90.04 90.00
Space group C2/m (No. 12)
Inequivalent atoms, fractional coordinates:
Re: 0.238 0.000 0.065 [4 per cell]
Pd: 0.249 0.500 0.239 [4 per cell]
Au: 0.250 0.000 0.410 [4 per cell]

Computed properties:
* V: 195.66 Å³/cell
* energy of formation: 0.168 eV per atom
* M_tot: 0.000 μB/f.u.
* crystal system: monoclinic